DFT (GGA-PBE) results for a geometry-optimized TbNd2Er structure.

The structure in extended XYZ format:
```
4
Lattice="-0.010 3.558 0.632 -1.262 0.589 -3.335 -9.522 -0.646 3.489" Properties=species:S:1:pos:R:3 pbc="T T T"
Nd -7.158 -0.486 2.623
Nd -2.364 -0.160 0.866
Tb -5.397 1.750 0.393
Er -0.636 2.073 -1.351
```

Polymorph energy (0 for the lowest one) in kJ per mole of atoms: 0.7
N(E_F) in states/eV/cell: 5.71

---

DFT (GGA-PBE) results for a geometry-optimized MgSbBr2 structure.

The structure in extended XYZ format:
```
4
Lattice="-1.192 3.485 1.011 -1.975 -2.975 1.353 5.892 -0.292 7.957" Properties=species:S:1:pos:R:3 pbc="T T T"
Br 5.529 -0.274 7.466
Br 0.390 0.157 3.846
Mg 2.937 -0.146 3.967
Sb 2.708 0.042 6.977
```

Polymorph energy (0 for the lowest one) in kJ per mole of atoms: 34.3
N(E_F) in states/eV/cell: 1.48
Raw formation energy in eV/atom: -0.407

---

DFT (GGA-PBE) results for a geometry-optimized Pu3Fe structure.

The structure in extended XYZ format:
```
4
Lattice="3.592 0.000 0.000 0.000 5.148 0.000 -1.796 -2.574 3.968" Properties=species:S:1:pos:R:3 pbc="T T T"
Fe 0.000 4.719 0.000
Pu 0.000 2.145 2.001
Pu 1.796 2.145 0.000
Pu 1.796 -0.429 1.967
```

Total energy in eV per cell: -50.76
N(E_F) in states/eV/cell: 14.12

---

- The lowest N(E_F) belongs to which entry?
  MgSbBr2